DFT (PBE) results for an optimized crystal structure of LaErTe2.

Geometry as POSCAR:
```
LaErTe2
1.0
4.406 -0.004 -0.007
-2.205 3.814 0.007
-2.201 -1.269 7.418
Te La Er
2 1 1
direct
0.514 0.257 0.770 Te
0.486 0.743 0.230 Te
0.000 0.500 0.500 La
0.000 0.000 0.000 Er
```

formation energy without anion corrections: -1413.3 meV per atom
crystal system: monoclinic
symmetry: C2/m, No. 12

DFT (PBE) results for an optimized crystal structure of LaAlHg.

Geometry as POSCAR:
```
LaAlHg
1.0
6.104 0.011 0.028
1.968 4.499 0.003
0.793 2.331 5.585
Hg La Al
2 2 2
direct
0.409 0.944 0.216 Hg
0.210 0.444 0.416 Hg
0.792 0.247 0.226 La
0.220 0.747 0.799 La
0.778 0.551 0.632 Al
0.625 0.051 0.784 Al
```

crystal system: orthorhombic
symmetry: Ima2, No. 46

DFT (PBE) results for an optimized crystal structure of SrTlRh2.

Geometry as POSCAR:
```
SrTlRh2
1.0
0.000 3.432 3.432
3.432 0.000 3.432
3.432 3.432 0.000
Tl Rh Sr
1 2 1
direct
0.500 0.500 0.500 Tl
0.750 0.750 0.750 Rh
0.250 0.250 0.250 Rh
0.000 0.000 0.000 Sr
```

crystal system: cubic
symmetry: Fm-3m, No. 225

DFT (PBE) results for an optimized crystal structure of NaTl17Hg11.

Geometry as POSCAR:
```
NaTl17Hg11
1.0
9.708 -0.029 -3.413
-4.814 8.430 -3.413
-0.008 -0.013 10.246
Tl Hg Na
17 11 1
direct
0.998 0.998 0.365 Tl
0.330 0.000 0.601 Tl
0.000 0.330 0.601 Tl
0.998 0.353 0.996 Tl
0.324 0.600 0.000 Tl
0.593 0.998 0.319 Tl
0.685 0.298 0.686 Tl
0.710 0.398 0.398 Tl
0.001 0.001 0.004 Tl
0.600 0.324 0.000 Tl
0.387 0.387 0.701 Tl
0.353 0.998 0.996 Tl
0.998 0.593 0.319 Tl
0.680 0.680 0.290 Tl
0.298 0.685 0.686 Tl
0.398 0.710 0.398 Tl
0.653 0.653 0.654 Tl
0.814 0.635 0.005 Hg
0.359 0.170 0.356 Hg
0.009 0.645 0.817 Hg
0.186 0.186 0.820 Hg
0.806 0.183 0.189 Hg
0.635 0.814 0.005 Hg
0.005 0.816 0.625 Hg
0.170 0.359 0.356 Hg
0.645 0.009 0.817 Hg
0.816 0.005 0.625 Hg
0.183 0.806 0.189 Hg
0.364 0.364 0.181 Na
```

crystal system: monoclinic
symmetry: Cm, No. 8

Asked for Fermi-level density of states across the records above, the calculation gives 0.59 0.41 0.62 0.37 states/eV/atom in order.
Asked for total moment across the records above, the calculation gives 0.00 0.00 0.00 0.00 μB per cell in order.
Asked for calculated total energy across the records above, the calculation gives -21.43 -20.78 -18.93 -45.33 eV for the cell shown in order.